The following is a DFT calculation (PBE-GGA) of a relaxed structure of LaSeBr2F.

Properties
For the uncorrected formation energy, the calculation gives -1.029 eV/atom. The density comes out at 3.222 g/cm³. As for the raw total energy: -0.276 Ry per atom. The energy above the most stable polymorph in this dataset comes out at 34.0 meV/atom. The crystal system is tetragonal.

Lattice parameters (Å, degrees): 5.752 5.752 6.179 90.00 90.00 90.00
Space group P4/mmm (No. 123)
Asymmetric unit:
La 0.000 0.000 0.000
Se 0.000 0.000 0.500
Br 0.000 0.500 0.000
F 0.500 0.500 0.500